1.
VASP calculation (GGA-PBE) on an optimized crystal structure of CaGd2Er.

Cell: 5.1035 5.1430 5.1430 Å, 90.00 90.00 90.00°
Last column: nearest neighbours and their distance in Å.
Element x y z (fractional)
Gd: 0.0000 0.5000 0.0000  4 Er 3.62, 4 Ca 3.62, 4 Gd 3.64
Gd: 0.0000 0.0000 0.5000  4 Er 3.62, 4 Ca 3.62, 4 Gd 3.64
Er: 0.5000 0.5000 0.5000  8 Gd 3.62, 4 Ca 3.64
Ca: 0.5000 0.0000 0.0000  8 Gd 3.62, 4 Er 3.64

E_form ... 0.121 eV/atom
Total moment ... 16.05 Bohr magnetons per cell
Energy relative to the lowest polymorph listed for this composition ... 65 meV/atom
E ... -8.560 eV per atom

2.
VASP calculation (GGA-PBE) on an optimized crystal structure of CaGdEr2.

Cell: 3.6050 3.6050 10.2602 Å, 90.00 90.00 90.00°
Last column: nearest neighbours and their distance in Å.
Element x y z (fractional)
Ca: 0.5000 0.5000 0.5000  4 Ca 3.61, 8 Er 3.76
Gd: 0.5000 0.5000 0.0000  8 Er 3.48, 4 Gd 3.61
Er: 0.0000 0.0000 0.7690  4 Gd 3.48, 4 Er 3.61, 4 Ca 3.76
Er: 0.0000 0.0000 0.2310  4 Gd 3.48, 4 Er 3.61, 4 Ca 3.76

E_form ... 0.085 eV/atom
Total moment ... 6.83 Bohr magnetons per cell
Energy relative to the lowest polymorph listed for this composition ... 0 meV/atom
E ... -6.217 eV per atom

3.
VASP calculation (GGA-PBE) on an optimized crystal structure of CaGdEr2.

Cell: 5.7192 5.7192 5.7192 Å, 60.00 60.00 60.00°
Last column: nearest neighbours and their distance in Å.
Element x y z (fractional)
Er: 0.2500 0.2500 0.2500  4 Gd 3.50, 4 Ca 3.50
Er: 0.7500 0.7500 0.7500  4 Ca 3.50, 4 Gd 3.50
Ca: 0.5000 0.5000 0.5000  8 Er 3.50
Gd: 0.0000 0.0000 0.0000  8 Er 3.50

E_form ... 0.173 eV/atom
Total moment ... 8.14 Bohr magnetons per cell
Energy relative to the lowest polymorph listed for this composition ... 87 meV/atom
E ... -6.129 eV per atom

4.
VASP calculation (GGA-PBE) on an optimized crystal structure of CaGd2Er.

Cell: 3.5529 3.5529 12.6875 Å, 81.95 81.95 60.00°
Last column: nearest neighbours and their distance in Å.
Element x y z (fractional)
Gd: 0.0912 0.0912 0.7265  1 Ca 3.42, 3 Er 3.50, 6 Gd 3.55
Gd: 0.9088 0.9088 0.2735  1 Ca 3.42, 3 Er 3.50, 6 Gd 3.55
Er: 0.5000 0.5000 0.5000  6 Gd 3.50, 6 Er 3.55
Ca: 0.0000 0.0000 0.0000  2 Gd 3.42, 6 Ca 3.55

E_form ... 0.146 eV/atom
Total moment ... 14.85 Bohr magnetons per cell
Energy relative to the lowest polymorph listed for this composition ... 89 meV/atom
E ... -8.536 eV per atom